1.
TbDyCdOs (PBE-GGA, optimized geometry); volume = 90 Å³/cell; formation energy = -0.203 eV/atom; energy above the most stable polymorph in this dataset = 94.6 meV/atom; SG = F-43m
1.0
0.000 3.553 3.553
3.553 0.000 3.553
3.553 3.553 0.000
Tb Dy Cd Os
1 1 1 1
direct
0.000 0.000 0.000 Tb
0.500 0.500 0.500 Dy
0.250 0.250 0.250 Cd
0.750 0.750 0.750 Os

***

2.
TbDyCdOs (PBE-GGA, optimized geometry); volume = 93 Å³/cell; formation energy = -0.298 eV/atom; energy above the most stable polymorph in this dataset = 0.0 meV/atom; SG = P4mm
1.0
3.453 0.000 0.000
0.000 3.453 0.000
0.000 0.000 7.816
Tb Dy Cd Os
1 1 1 1
direct
0.000 0.000 0.000 Tb
0.000 0.000 0.575 Dy
0.500 0.500 0.289 Cd
0.500 0.500 0.786 Os

***

3.
DyThCdOs (PBE-GGA, optimized geometry); volume = 95 Å³/cell; formation energy = -0.141 eV/atom; SG = F-43m
1.0
0.000 3.628 3.628
3.628 0.000 3.628
3.628 3.628 0.000
Dy Th Cd Os
1 1 1 1
direct
0.000 0.000 0.000 Dy
0.500 0.500 0.500 Th
0.250 0.250 0.250 Cd
0.750 0.750 0.750 Os

***

4.
DyTmCdOs (PBE-GGA, optimized geometry); volume = 87 Å³/cell; formation energy = -0.237 eV/atom; energy above the most stable polymorph in this dataset = 101.2 meV/atom; SG = F-43m
1.0
0.000 3.522 3.522
3.522 0.000 3.522
3.522 3.522 0.000
Dy Tm Cd Os
1 1 1 1
direct
0.000 0.000 0.000 Dy
0.500 0.500 0.500 Tm
0.750 0.750 0.750 Cd
0.250 0.250 0.250 Os

***

5.
DyTmCdOs (PBE-GGA, optimized geometry); volume = 91 Å³/cell; formation energy = -0.338 eV/atom; energy above the most stable polymorph in this dataset = 0.0 meV/atom; SG = P4mm
1.0
3.427 0.000 0.000
0.000 3.427 0.000
0.000 0.000 7.728
Dy Tm Cd Os
1 1 1 1
direct
0.000 0.000 0.000 Dy
0.000 0.000 0.575 Tm
0.500 0.500 0.293 Cd
0.500 0.500 0.783 Os

***

6.
DyYCdOs (PBE-GGA, optimized geometry); volume = 93 Å³/cell; formation energy = -0.302 eV/atom; energy above the most stable polymorph in this dataset = 0.0 meV/atom; SG = P4mm
1.0
3.457 0.000 0.000
0.000 3.457 0.000
0.000 0.000 7.767
Dy Y Cd Os
1 1 1 1
direct
0.000 0.000 0.000 Dy
0.000 0.000 0.427 Y
0.500 0.500 0.714 Cd
0.500 0.500 0.211 Os

***

7.
DyYCdOs (PBE-GGA, optimized geometry); volume = 89 Å³/cell; formation energy = -0.210 eV/atom; energy above the most stable polymorph in this dataset = 92.1 meV/atom; SG = F-43m
1.0
0.000 3.550 3.550
3.550 0.000 3.550
3.550 3.550 0.000
Dy Y Cd Os
1 1 1 1
direct
0.000 0.000 0.000 Dy
0.500 0.500 0.500 Y
0.750 0.750 0.750 Cd
0.250 0.250 0.250 Os

***

8.
Dy3CdP (PBE-GGA, optimized geometry); volume = 147 Å³/cell; formation energy = -0.546 eV/atom; SG = Pm-3m
1.0
5.273 0.000 0.000
0.000 5.273 0.000
0.000 0.000 5.273
Dy Cd P
3 1 1
direct
0.000 0.000 0.500 Dy
0.000 0.500 0.000 Dy
0.500 0.000 0.000 Dy
0.500 0.500 0.500 Cd
0.000 0.000 0.000 P

***

9.
DyCdP (PBE-GGA, optimized geometry); volume = 165 Å³/cell; formation energy = -0.689 eV/atom; SG = R-3m
1.0
2.365 1.366 8.502
-2.365 1.366 8.502
0.000 -2.731 8.502
Dy Cd P
2 2 2
direct
0.109 0.109 0.109 Dy
0.891 0.891 0.891 Dy
0.319 0.319 0.319 Cd
0.681 0.681 0.681 Cd
0.216 0.216 0.216 P
0.784 0.784 0.784 P

***

10.
DyCd2P2Pt7 (PBE-GGA, optimized geometry); volume = 221 Å³/cell; formation energy = -0.629 eV/atom; SG = C2/m
1.0
2.824 -2.822 0.000
2.824 2.822 0.000
-1.906 0.000 13.857
Dy Cd P Pt
1 2 2 7
direct
0.000 0.000 0.000 Dy
0.095 0.095 0.403 Cd
0.905 0.905 0.597 Cd
0.418 0.418 0.747 P
0.582 0.582 0.253 P
0.052 0.552 0.159 Pt
0.403 0.403 0.585 Pt
0.448 0.948 0.841 Pt
0.500 0.500 0.000 Pt
0.552 0.052 0.159 Pt
0.597 0.597 0.415 Pt
0.948 0.448 0.841 Pt

***

11.
Dy2Cd2PRh4 (PBE-GGA, optimized geometry); volume = 171 Å³/cell; formation energy = -0.474 eV/atom; SG = I4/mmm
1.0
-3.101 3.101 4.448
3.101 -3.101 4.448
3.101 3.101 -4.448
Dy Cd P Rh
2 2 1 4
direct
0.202 0.202 0.000 Dy
0.798 0.798 0.000 Dy
0.250 0.750 0.500 Cd
0.750 0.250 0.500 Cd
0.500 0.500 0.000 P
0.243 0.243 0.485 Rh
0.243 0.757 0.000 Rh
0.757 0.243 0.000 Rh
0.757 0.757 0.515 Rh

***

12.
Dy2CdP3Rh12 (PBE-GGA, optimized geometry); volume = 295 Å³/cell; formation energy = -0.267 eV/atom; SG = R-3m
1.0
4.461 2.576 4.274
-4.461 2.576 4.274
0.000 -5.151 4.274
Dy Cd P Rh
2 1 3 12
direct
0.127 0.127 0.127 Dy
0.873 0.873 0.873 Dy
0.500 0.500 0.500 Cd
0.000 0.500 0.500 P
0.500 0.000 0.500 P
0.500 0.500 0.000 P
0.129 0.129 0.596 Rh
0.129 0.596 0.129 Rh
0.164 0.677 0.677 Rh
0.323 0.323 0.836 Rh
0.323 0.836 0.323 Rh
0.404 0.871 0.871 Rh
0.596 0.129 0.129 Rh
0.677 0.164 0.677 Rh
0.677 0.677 0.164 Rh
0.836 0.323 0.323 Rh
0.871 0.404 0.871 Rh
0.871 0.871 0.404 Rh

***

Number 2 is which compound? TbDyCdOs